Entry from Alexandria via LeMat-Bulk: an optimized crystal structure of CrB2O (PBE+U).

Cell lengths 4.7776, 4.7776, 4.5163 Å; angles 58.07, 58.07, 90.00 degrees
Closest atoms and distances in Å follow each position.
Sites, in units of the cell vectors:
O1 0.5000 0.5000 0.0000  4 B 1.60
O2 0.2500 0.7500 0.5000  4 B 1.60
B1 0.3750 0.4655 0.7500  2 O 1.60
B2 0.2155 0.6250 0.2500  2 O 1.60
B3 0.5345 0.1250 0.2500  2 O 1.60
B4 0.8750 0.7845 0.7500  2 O 1.60
Cr1 0.0000 0.0000 0.0000  4 B 2.15
Cr2 0.7500 0.2500 0.5000  4 B 2.15

Computed properties:
The magnetization is 0.12 μB per atom. The density of states at the Fermi level comes out at 4.88 states/eV per cell. The calculation puts the total energy at -45.19 eV/cell.